(1)
The following is a PBE-GGA calculation of a relaxed structure of MnAl2Ru, from Alexandria via LeMat-Bulk.

Summary:
Formation energy: 0.15 eV per atom
E_tot: -6.34 eV/atom

Cell lengths 6.7189, 6.7189, 5.4196 Å; angles 90.00, 90.00, 90.00 degrees
Space group I-42d (No. 122)
Unique sites:
Mn  0.0000  0.0000  0.0000
Al  0.2477  0.2500  0.6250
Ru  0.0000  0.0000  0.5000



(2)
The following is a PBE-GGA calculation of a relaxed structure of MnAl2Ru, from Alexandria via LeMat-Bulk.

Summary:
Formation energy: -0.30 eV per atom
E_tot: -6.78 eV/atom

Cell lengths 3.1248, 3.1248, 5.6569 Å; angles 90.00, 90.00, 90.00 degrees
Space group P4mm (No. 99)
Unique sites:
Mn  0.0000  0.0000  0.0000
Al  0.0000  0.0000  0.4903
Al  0.5000  0.5000  0.7724
Ru  0.5000  0.5000  0.2673



(3)
The following is a PBE-GGA calculation of a relaxed structure of MnAlRu2, from Alexandria via LeMat-Bulk.

Summary:
Formation energy: -0.26 eV per atom
E_tot: -8.12 eV/atom

Cell lengths 9.2423, 2.8752, 4.3413 Å; angles 90.00, 110.39, 90.00 degrees
Space group Cm (No. 8)
Unique sites:
Mn  0.0000  0.0000  0.0000
Al  0.2499  0.0000  0.6462
Ru  0.0012  0.5000  0.5002
Ru  0.2485  0.5000  0.1380



(4)
The following is a PBE-GGA calculation of a relaxed structure of MnAlRu2, from Alexandria via LeMat-Bulk.

Summary:
Formation energy: -0.25 eV per atom
E_tot: -8.12 eV/atom

Cell lengths 3.0450, 4.1568, 8.5317 Å; angles 90.00, 90.00, 90.00 degrees
Space group Imm2 (No. 44)
Unique sites:
Mn  0.0000  0.0000  0.0000
Al  0.0000  0.5000  0.7471
Ru  0.0000  0.0000  0.4941
Ru  0.0000  0.5000  0.2530